Compound: Nb2CuI8
Source: the Alexandria database
Functional: PBE-GGA
Structure: optimized geometry

Properties
The mass density is 3.74 Mg/m³. The value obtained for the density of states at the Fermi level is 10.02 states/eV per cell. The volume comes out at 51.0 Å³ per atom. Its raw total energy is -3.550 eV/atom. As for the energy relative to the elements, uncorrected: -219.5 meV/atom. As for the space group: C2/m.

CIF file:
```
data_Nb2CuI8
_cell_length_a 8.911
_cell_length_b 8.911
_cell_length_c 7.325
_cell_angle_alpha 91.18
_cell_angle_beta 91.18
_cell_angle_gamma 74.74
_symmetry_space_group_name_H-M 'P 1'
_symmetry_Int_Tables_number 1
loop_
_symmetry_equiv_pos_as_xyz
'x,y,z'
loop_
_atom_site_label
_atom_site_fract_x
_atom_site_fract_y
_atom_site_fract_z
_atom_site_occupancy
Nb1 0.192 0.192 0.360 1
Nb2 0.808 0.808 0.640 1
Cu1 0.000 0.000 0.000 1
I1 0.093 0.720 0.797 1
I2 0.177 0.177 0.720 1
I3 0.280 0.907 0.203 1
I4 0.371 0.371 0.263 1
I5 0.629 0.629 0.737 1
I6 0.720 0.093 0.797 1
I7 0.823 0.823 0.280 1
I8 0.907 0.280 0.203 1
```

---

Compound: NbCu2I8
Source: the Alexandria database
Functional: PBE-GGA
Structure: optimized geometry

Properties
The mass density is 4.56 Mg/m³. The value obtained for the density of states at the Fermi level is 3.71 states/eV per cell. The volume comes out at 40.9 Å³ per atom. Its raw total energy is -3.036 eV/atom. As for the energy relative to the elements, uncorrected: -248.4 meV/atom. As for the space group: C2/m.

CIF file:
```
data_NbCu2I8
_cell_length_a 8.367
_cell_length_b 8.367
_cell_length_c 6.511
_cell_angle_alpha 95.45
_cell_angle_beta 95.45
_cell_angle_gamma 94.86
_symmetry_space_group_name_H-M 'P 1'
_symmetry_Int_Tables_number 1
loop_
_symmetry_equiv_pos_as_xyz
'x,y,z'
loop_
_atom_site_label
_atom_site_fract_x
_atom_site_fract_y
_atom_site_fract_z
_atom_site_occupancy
Nb1 0.000 0.000 0.000 1
Cu1 0.200 0.200 0.414 1
Cu2 0.800 0.800 0.586 1
I1 0.078 0.737 0.734 1
I2 0.215 0.215 0.822 1
I3 0.263 0.922 0.266 1
I4 0.413 0.413 0.301 1
I5 0.587 0.587 0.699 1
I6 0.737 0.078 0.734 1
I7 0.785 0.785 0.178 1
I8 0.922 0.263 0.266 1
```

---

Compound: NbCuI2
Source: the Alexandria database
Functional: PBE-GGA
Structure: optimized geometry

Properties
The mass density is 5.39 Mg/m³. The value obtained for the density of states at the Fermi level is 10.63 states/eV per cell. The volume comes out at 31.6 Å³ per atom. Its raw total energy is -3.731 eV/atom. As for the energy relative to the elements, uncorrected: 585.1 meV/atom. As for the space group: I-42d.

CIF file:
```
data_NbCuI2
_cell_length_a 6.556
_cell_length_b 6.556
_cell_length_c 11.752
_cell_angle_alpha 90.00
_cell_angle_beta 90.00
_cell_angle_gamma 90.00
_symmetry_space_group_name_H-M 'P 1'
_symmetry_Int_Tables_number 1
loop_
_symmetry_equiv_pos_as_xyz
'x,y,z'
loop_
_atom_site_label
_atom_site_fract_x
_atom_site_fract_y
_atom_site_fract_z
_atom_site_occupancy
Nb1 0.000 0.000 0.000 1
Nb2 0.000 0.500 0.250 1
Nb3 0.500 0.000 0.750 1
Nb4 0.500 0.500 0.500 1
Cu1 0.000 0.000 0.500 1
Cu2 0.000 0.500 0.750 1
Cu3 0.500 0.000 0.250 1
Cu4 0.500 0.500 0.000 1
I1 0.217 0.250 0.625 1
I2 0.250 0.717 0.875 1
I3 0.250 0.783 0.375 1
I4 0.283 0.250 0.125 1
I5 0.717 0.750 0.125 1
I6 0.750 0.217 0.375 1
I7 0.750 0.283 0.875 1
I8 0.783 0.750 0.625 1
```

---

Compound: Nb3CuI
Source: the Alexandria database
Functional: PBE-GGA
Structure: optimized geometry

Properties
The mass density is 7.19 Mg/m³. The value obtained for the density of states at the Fermi level is 7.15 states/eV per cell. The volume comes out at 21.7 Å³ per atom. Its raw total energy is -5.948 eV/atom. As for the energy relative to the elements, uncorrected: 1223.4 meV/atom. As for the space group: Pm-3m.

CIF file:
```
data_Nb3CuI
_cell_length_a 4.768
_cell_length_b 4.768
_cell_length_c 4.768
_cell_angle_alpha 90.00
_cell_angle_beta 90.00
_cell_angle_gamma 90.00
_symmetry_space_group_name_H-M 'P 1'
_symmetry_Int_Tables_number 1
loop_
_symmetry_equiv_pos_as_xyz
'x,y,z'
loop_
_atom_site_label
_atom_site_fract_x
_atom_site_fract_y
_atom_site_fract_z
_atom_site_occupancy
Nb1 0.000 0.000 0.500 1
Nb2 0.000 0.500 0.000 1
Nb3 0.500 0.000 0.000 1
Cu1 0.000 0.000 0.000 1
I1 0.500 0.500 0.500 1
```